# MgScMo2, relaxed, DFT GGA-PBE
# Volume ... 72 Å³/cell
# Electronic total energy ... -28.417 eV for the cell shown
data_MgScMo2
_chemical_formula_sum 'Mg1 Sc1 Mo2'
_cell_length_a 2.7419
_cell_length_b 2.7419
_cell_length_c 9.6337
_cell_angle_alpha 90.00
_cell_angle_beta 90.00
_cell_angle_gamma 90.00
_symmetry_space_group_name_H-M 'P 4 m m'
_symmetry_Int_Tables_number 99
_symmetry_space_group_name_Hall 'P 4 -2'
loop_
_atom_site_label
_atom_site_type_symbol
_atom_site_fract_x
_atom_site_fract_y
_atom_site_fract_z
Mg1 Mg 0.0000 0.0000 0.0000
Sc1 Sc 0.5000 0.5000 0.7182
Mo1 Mo 0.0000 0.0000 0.4800
Mo2 Mo 0.5000 0.5000 0.2383